(1)
MnPd3I | PBE-GGA | optimized geometry

```
MnPd3I
1.0
-1.738 -1.408 -4.424
3.377 -3.624 -0.173
-3.185 -3.075 2.229
I Mn Pd
1 1 3
Cartesian
0.000 0.000 0.000
-0.773 -4.053 -1.184
1.689 -1.812 -0.087
-1.592 -1.537 1.115
-0.869 -0.704 -2.212
```

Summary:
- crystal system = cubic
- E_form (uncorrected) (meV per atom) = 787
- VASP energy (eV for the cell shown) = -22.4
- excess energy over the best structure of this formula in the dataset (meV/atom) = 0
- M_tot (μB/f.u.) = 4.9

(2)
FeCu2Te | PBE-GGA | optimized geometry

```
FeCu2Te
1.0
7.505 0.016 0.009
6.796 3.184 0.009
6.796 1.521 2.797
Cu Fe Te
2 1 1
Cartesian
20.860 4.667 2.785
5.235 1.171 0.699
10.681 2.390 1.426
15.967 3.573 2.131
```

Summary:
- crystal system = trigonal
- E_form (uncorrected) (meV per atom) = 468
- VASP energy (eV for the cell shown) = -17.9
- M_tot (μB/f.u.) = 2.3

(3)
Nb2VGaN | PBE-GGA | optimized geometry

```
Nb2VGaN
1.0
-3.294 2.828 0.240
-0.656 -0.401 -4.280
-2.412 -2.863 0.638
Nb N Ga V
2 1 1 1
Cartesian
-0.328 -0.200 -2.140
-1.647 1.414 0.120
0.000 0.000 0.000
-3.181 -0.218 -1.701
-1.206 -1.432 0.319
```

Summary:
- crystal system = tetragonal
- E_form (uncorrected) (meV per atom) = -564
- VASP energy (eV for the cell shown) = -43.4
- M_tot (μB/f.u.) = 0.0

(4)
MnNi2Mo | PBE-GGA | optimized geometry

```
MnNi2Mo
1.0
-3.084 1.791 -0.416
0.181 -0.513 -3.548
-1.929 -3.237 0.370
Ni Mo Mn
2 1 1
Cartesian
0.000 0.000 0.000
-1.452 0.639 -1.982
-0.874 -1.875 -1.589
-2.507 -0.723 -0.023
```

Summary:
- energy of formation from the pure elements (kcal/mol of atoms) = -0.507
- crystal system = tetragonal
- VASP energy (eV for the cell shown) = -31.7
- excess energy over the best structure of this formula in the dataset (meV/atom) = 16
- M_tot (μB/f.u.) = 0.9

(5)
La2Dy5Tm12 | PBE-GGA | optimized geometry

```
La2Dy5Tm12
1.0
-5.036 -2.489 7.253
8.031 -8.729 -3.222
1.005 7.688 3.337
La Dy Tm
2 5 12
Cartesian
-3.479 -1.720 5.011
-1.557 -0.770 2.242
3.955 -1.339 2.287
3.472 2.170 3.156
0.503 3.844 1.668
0.528 -5.700 4.212
0.045 -2.191 5.081
1.363 0.461 1.105
6.318 1.139 1.070
3.099 -0.452 5.705
5.481 -3.939 0.236
3.556 -4.891 3.008
-1.106 3.675 6.295
5.106 -7.204 1.073
-1.481 0.410 7.132
0.444 1.361 4.359
-2.318 -4.669 6.298
0.901 -3.078 1.663
2.636 -3.991 6.263
```

Summary:
- energy of formation from the pure elements (kcal/mol of atoms) = 3.210
- crystal system = monoclinic
- VASP energy (eV for the cell shown) = -83.9
- excess energy over the best structure of this formula in the dataset (meV/atom) = 72
- M_tot (μB/f.u.) = 0.0

(6)
AlNi2Sb | PBE-GGA | optimized geometry

```
AlNi2Sb
1.0
-4.820 1.550 -0.417
-4.257 -1.151 2.522
-3.074 2.667 3.040
Sb Al Ni
1 1 2
Cartesian
-6.300 1.590 2.668
-8.798 2.220 3.725
-11.259 2.841 4.767
-4.018 1.014 1.701
```

Summary:
- crystal system = trigonal
- E_form (uncorrected) (meV per atom) = -183
- VASP energy (eV for the cell shown) = -20.2
- excess energy over the best structure of this formula in the dataset (meV/atom) = 59
- M_tot (μB/f.u.) = 0.0

(7)
PmCu2H8Ir | PBE-GGA | optimized geometry

```
PmCu2H8Ir
1.0
-4.452 0.911 -0.070
-0.299 -1.876 4.187
0.504 3.224 5.343
Pm Cu H Ir
1 2 8 1
Cartesian
0.252 1.612 2.671
-1.988 2.263 5.137
-2.259 -0.005 4.322
-0.481 -0.180 4.273
-3.285 2.469 8.097
-3.160 0.888 1.035
-3.766 2.439 5.187
-0.962 -0.210 1.362
-1.087 1.371 8.425
-2.120 0.832 5.990
-2.127 1.427 3.469
0.000 0.000 0.000
```

Summary:
- crystal system = triclinic
- VASP energy (eV for the cell shown) = -51.2
- M_tot (μB/f.u.) = 0.0

(8)
PmBAs2 | PBE-GGA | optimized geometry

```
PmBAs2
1.0
-2.839 -2.583 2.877
2.640 -2.967 -0.058
1.811 1.549 3.178
As B Pm
2 1 1
Cartesian
0.905 0.775 1.589
1.320 -1.483 -0.029
0.806 -2.000 2.998
-1.419 -1.291 1.438
```

Summary:
- energy of formation from the pure elements (kcal/mol of atoms) = 2.353
- crystal system = tetragonal
- VASP energy (eV for the cell shown) = -20.3
- M_tot (μB/f.u.) = 0.0